1.
Below is a geometry-optimized TaCdPt2 structure, with properties calculated at the PBE level.

Cell: 4.6033 4.6033 4.6033 Å, 60.00 60.00 60.00°
Atoms (fractional coordinates):
Cd (0.0000, 0.0000, 0.0000)
Pt (0.2500, 0.2500, 0.2500)
Pt (0.7500, 0.7500, 0.7500)
Ta (0.5000, 0.5000, 0.5000)

## Properties
Formation energy = -0.3668 eV per atom

---

2.
Below is a geometry-optimized TaCdPt2 structure, with properties calculated at the PBE level.

Cell: 9.6920 9.6920 9.6920 Å, 17.12 17.12 17.12°
Atoms (fractional coordinates):
Pt (0.9987, 0.9987, 0.9987)
Pt (0.2489, 0.2489, 0.2489)
Ta (0.5052, 0.5052, 0.5052)
Cd (0.7471, 0.7471, 0.7471)

## Properties
Formation energy = -0.1711 eV per atom

---

3.
Below is a geometry-optimized TaCd2Pt structure, with properties calculated at the PBE level.

Cell: 5.0706 5.0706 2.9022 Å, 90.00 90.00 90.00°
Atoms (fractional coordinates):
Cd (0.5000, 0.5000, 0.0000)
Cd (0.0000, 0.0000, 0.0000)
Ta (0.0000, 0.5000, 0.5000)
Pt (0.5000, 0.0000, 0.5000)

## Properties
Formation energy = 0.2904 eV per atom
E above lowest polymorph = 0.4684 eV per atom

---

Look up the formation energy of the first one. -0.3668 eV per atom

---

What is the formation energy in the second record? -0.1711 eV per atom